(1)
Material: ZrCdO2F
Method: DFT, PBE-GGA
State: relaxed

abc: 4.179 4.179 4.311
angles: 90.00 90.00 90.00
Space group P4/mmm (No. 123)
Symmetry-distinct sites (fractional):
Zr (0.000, 0.000, 0.000)
Cd (0.500, 0.500, 0.500)
O (0.000, 0.500, 0.000)
F (0.000, 0.000, 0.500)

Results
calculated density = 5.62 g/cm3
total magnetization = 0.00 Bohr magnetons per cell
total energy = -6.54 eV per atom
calculated volume = 75 Å³/cell
formation energy from raw total energies = -2.29 eV per atom


(2)
Material: ZrCdO2F
Method: DFT, PBE-GGA
State: relaxed

abc: 4.253 4.253 4.147
angles: 90.00 90.00 90.00
Space group P4/mmm (No. 123)
Symmetry-distinct sites (fractional):
Zr (0.000, 0.000, 0.000)
Cd (0.500, 0.500, 0.500)
O (0.000, 0.500, 0.500)
F (0.500, 0.500, 0.000)

Results
calculated density = 5.64 g/cm3
total magnetization = 1.11 Bohr magnetons per cell
total energy = -5.12 eV per atom
calculated volume = 75 Å³/cell
formation energy from raw total energies = -0.87 eV per atom


(3)
Material: CdOsF2
Method: DFT, PBE-GGA
State: relaxed

abc: 2.7463 2.7463 26.0948
angles: 90.00 90.00 120.00
Space group R-3m (No. 166, hexagonal axes)
Symmetry-distinct sites (fractional):
Cd (0.0000, 0.0000, 0.0000)
Os (0.0000, 0.0000, 0.5000)
F (0.0000, 0.0000, 0.0943)

Results
calculated density = 9.96 g/cm3
polymorph energy (0 for the lowest one) = 612 meV per atom
total magnetization = 0.04 Bohr magnetons per cell
total energy = -4.21 eV per atom
calculated volume = 170 Å³/cell
formation energy from raw total energies = -0.24 eV per atom


(4)
Material: CdOsF3
Method: DFT, PBE-GGA
State: relaxed

abc: 4.246 4.246 4.246
angles: 90.00 90.00 90.00
Space group Pm-3m (No. 221)
Symmetry-distinct sites (fractional):
Cd (0.000, 0.000, 0.000)
Os (0.500, 0.500, 0.500)
F (0.000, 0.500, 0.500)

Results
calculated density = 7.80 g/cm3
polymorph energy (0 for the lowest one) = 0 meV per atom
total magnetization = 0.33 Bohr magnetons per cell
total energy = -4.14 eV per atom
calculated volume = 77 Å³/cell
formation energy from raw total energies = -0.59 eV per atom